Record 1
A relaxed Ca3AlRh crystal. Source: the Alexandria database, functional GGA-PBEsol.

The space group is Pm-3m (No. 221) and the conventional cell measures 5.3319, 5.3319 and 5.3319 Å, with angles of 90.00, 90.00 and 90.00 degrees. The asymmetric unit holds Ca at (0.0000, 0.0000, 0.5000), Al at (0.5000, 0.5000, 0.5000) and Rh at (0.0000, 0.0000, 0.0000).

The total energy comes out at -3.725 eV/atom. The mass density is 2.74 g/cm³.

---

Record 2
A relaxed CaAl2Rh crystal. Source: the Alexandria database, functional GGA-PBEsol.

The space group is Imm2 (No. 44) and the conventional cell measures 4.5833, 4.5875 and 6.4772 Å, with angles of 90.00, 90.00 and 90.00 degrees. The asymmetric unit holds Ca at (0.0000, 0.0000, 0.0000), Al at (0.0000, 0.0000, 0.4998), Al at (0.0000, 0.5000, 0.2497) and Rh at (0.0000, 0.5000, 0.7505).

The total energy comes out at -4.874 eV/atom. The mass density is 4.80 g/cm³.

---

Values of ΔE_f, in order: 0 -100, all in kJ/mol of formula units.